# 1
TaTlCu2 | PBE | optimized geometry

Cell lengths 4.2290, 4.2290, 3.6723 Å; angles 90.00, 90.00, 90.00 degrees
Atoms (fractional coordinates):
Ta1 0.0000 0.0000 0.0000
Tl1 0.5000 0.5000 0.0000
Cu1 0.0000 0.5000 0.5000
Cu2 0.5000 0.0000 0.5000

DOS at the Fermi energy in states/eV/cell: 3.19
ΔE_f in kJ per mole of atoms: 39.34
Energy above the lowest structure with this stoichiometry in meV/atom: 106
Symmetry: P4/mmm

---

# 2
Ta2TlCu | PBE | optimized geometry

Cell lengths 2.9059, 2.9059, 8.6675 Å; angles 90.00, 90.00, 90.00 degrees
Atoms (fractional coordinates):
Ta1 0.0000 0.0000 0.0000
Ta2 0.5000 0.5000 0.2562
Tl1 0.0000 0.0000 0.5380
Cu1 0.5000 0.5000 0.7831

DOS at the Fermi energy in states/eV/cell: 2.93
ΔE_f in kJ per mole of atoms: 30.97
Symmetry: P4mm

---

# 3
Ta2TlCu | PBE | optimized geometry

Cell lengths 5.2775, 5.2775, 5.2775 Å; angles 137.79, 133.25, 64.79 degrees
Atoms (fractional coordinates):
Ta1 0.2435 0.2435 0.0000
Ta2 0.7565 0.7565 0.0000
Tl1 0.5000 0.0000 0.5000
Cu1 0.0000 0.5000 0.5000

DOS at the Fermi energy in states/eV/cell: 3.30
ΔE_f in kJ per mole of atoms: 33.64
Symmetry: Immm

---

# 4
Ta2TlCu | PBE | optimized geometry

Cell lengths 10.7248, 10.7248, 10.7248 Å; angles 159.12, 159.12, 29.70 degrees
Atoms (fractional coordinates):
Ta1 0.1225 0.6250 0.9975
Ta2 0.3750 0.3725 0.4975
Ta3 0.6275 0.1250 0.0025
Ta4 0.8750 0.8775 0.5025
Tl1 0.2500 0.7500 0.5000
Tl2 0.5000 0.5000 0.0000
Cu1 0.0000 0.0000 0.0000
Cu2 0.7500 0.2500 0.5000

DOS at the Fermi energy in states/eV/cell: 6.36
ΔE_f in kJ per mole of atoms: 76.52
Symmetry: I-42d

---

# 5
TaTlCu2 | PBE | optimized geometry

Cell lengths 4.5577, 4.5577, 4.5577 Å; angles 60.00, 60.00, 60.00 degrees
Atoms (fractional coordinates):
Ta1 0.0000 0.0000 0.0000
Tl1 0.2500 0.2500 0.2500
Cu1 0.5000 0.5000 0.5000
Cu2 0.7500 0.7500 0.7500

DOS at the Fermi energy in states/eV/cell: 2.00
ΔE_f in kJ per mole of atoms: 57.15
Energy above the lowest structure with this stoichiometry in meV/atom: 291
Symmetry: F-43m

---

# 6
Ta2TlCu | PBE | optimized geometry

Cell lengths 3.9214, 4.0777, 4.4415 Å; angles 90.00, 90.00, 90.00 degrees
Atoms (fractional coordinates):
Ta1 0.0000 0.0000 0.0000
Ta2 0.5000 0.5000 0.0000
Tl1 0.0000 0.5000 0.5000
Cu1 0.5000 0.0000 0.5000

DOS at the Fermi energy in states/eV/cell: 3.59
ΔE_f in kJ per mole of atoms: 34.67
Symmetry: Pmmm

---

Question: Among the records above, which one has the highest DOS at the Fermi energy?
Answer: number 4